# MgCrCdN2

A geometry-optimized MgCrCdN2 structure (PBE, the Alexandria database).

```
MgCrCdN2
1.0
-2.785 1.877 1.688
-3.083 -4.585 0.013
1.405 -0.936 3.358
Cr Mg N Cd
1 1 2 1
Direct
0.000 0.000 0.000 Cr
0.000 0.500 0.000 Mg
0.000 0.000 0.500 N
0.500 0.000 0.000 N
0.500 0.500 0.500 Cd
```

Properties
**Calculated total energy**: -5.0740 eV/atom